Here is a geometry-optimized HoMgScSi structure from Alexandria. Energies are from GGA-PBE.

The value obtained for the uncorrected formation energy is -0.281 eV per atom. For the volume, the calculation gives 336.3 Å³/cell. For the density of states at the Fermi level, the calculation gives 3.3 states/eV/f.u.

The space group is F-43m (No. 216) and the conventional cell measures 6.9541, 6.9541 and 6.9541 Å, with angles of 90.00, 90.00 and 90.00 degrees. Symmetry generates all atoms from Ho at (0.0000, 0.0000, 0.0000), Mg at (0.2500, 0.2500, 0.7500), Sc at (0.0000, 0.0000, 0.5000) and Si at (0.2500, 0.2500, 0.2500).

=====

Here is a geometry-optimized Sm2Ho6MgSc3 structure from Alexandria. Energies are from GGA-PBE.

For the energy, the calculation gives -56.99 eV/f.u. For the volume, the calculation gives 697.4 Å³/cell. For the density of states at the Fermi level, the calculation gives 17.1 states/eV/f.u.

The space group is C2/m (No. 12) and the conventional cell measures 5.9935, 10.3878 and 11.3803 Å, with angles of 90.00, 100.19 and 90.00 degrees. Symmetry generates all atoms from Sm at (0.0000, 0.1667, 0.0000), Ho at (0.2465, 0.5000, 0.7402), Ho at (0.2475, 0.1663, 0.7403), Mg at (0.0000, 0.5000, 0.0000), Sc at (0.0000, 0.0000, 0.5000) and Sc at (0.0000, 0.3348, 0.5000).

=====

Here is a geometry-optimized SmHoMgSc structure from Alexandria. Energies are from GGA-PBE.

For the volume, the calculation gives 112.2 Å³/cell. The calculation puts the polymorph energy (0 for the lowest one) at 0.00 eV/f.u. For the density of states at the Fermi level, the calculation gives 5.3 states/eV/f.u.

The space group is P4mm (No. 99) and the conventional cell measures 3.4941, 3.4941 and 9.1864 Å, with angles of 90.00, 90.00 and 90.00 degrees. Symmetry generates all atoms from Sm at (0.0000, 0.0000, 0.0000), Ho at (0.5000, 0.5000, 0.7199), Mg at (0.5000, 0.5000, 0.2557) and Sc at (0.0000, 0.0000, 0.4708).

=====

Here is a geometry-optimized SmHoMgSc structure from Alexandria. Energies are from GGA-PBE.

For the volume, the calculation gives 446.6 Å³/cell. The calculation puts the polymorph energy (0 for the lowest one) at 0.11 eV/f.u. For the density of states at the Fermi level, the calculation gives 4.5 states/eV/f.u.

The space group is F-43m (No. 216) and the conventional cell measures 7.6440, 7.6440 and 7.6440 Å, with angles of 90.00, 90.00 and 90.00 degrees. Symmetry generates all atoms from Sm at (0.0000, 0.0000, 0.0000), Ho at (0.0000, 0.0000, 0.5000), Mg at (0.2500, 0.2500, 0.7500) and Sc at (0.2500, 0.2500, 0.2500).

=====

Here is a geometry-optimized Tb2Ho4MgSc structure from Alexandria. Energies are from GGA-PBE.

For the energy, the calculation gives -35.24 eV/f.u. For the volume, the calculation gives 235.7 Å³/cell. For the density of states at the Fermi level, the calculation gives 11.9 states/eV/f.u.

The space group is P2/m (No. 10) and the conventional cell measures 4.9198, 4.9159 and 9.7475 Å, with angles of 90.00, 90.05 and 90.00 degrees. Symmetry generates all atoms from Tb at (0.0000, 0.0000, 0.0000), Tb at (0.5000, 0.5000, 0.5000), Ho at (0.9998, 0.5000, 0.2464), Ho at (0.4995, 0.0000, 0.2463), Mg at (0.0000, 0.0000, 0.5000) and Sc at (0.5000, 0.5000, 0.0000).

=====

Here is a geometry-optimized Tb2Ho6MgSc3 structure from Alexandria. Energies are from GGA-PBE.

For the energy, the calculation gives -56.80 eV/f.u. For the volume, the calculation gives 690.9 Å³/cell. For the density of states at the Fermi level, the calculation gives 16.6 states/eV/f.u.

The space group is C2/m (No. 12) and the conventional cell measures 5.9777, 10.3567 and 11.3382 Å, with angles of 90.00, 100.18 and 90.00 degrees. Symmetry generates all atoms from Tb at (0.0000, 0.1666, 0.0000), Ho at (0.2477, 0.1666, 0.7416), Ho at (0.2477, 0.5000, 0.7413), Mg at (0.0000, 0.5000, 0.0000), Sc at (0.0000, 0.0000, 0.5000) and Sc at (0.0000, 0.3344, 0.5000).

=====

Here is a geometry-optimized Tb2Ho2Mg5Sc structure from Alexandria. Energies are from GGA-PBE.

For the energy, the calculation gives -31.75 eV/f.u. For the volume, the calculation gives 544.6 Å³/cell. For the density of states at the Fermi level, the calculation gives 7.2 states/eV/f.u.

The space group is P4/mbm (No. 127) and the conventional cell measures 10.5069, 10.5069 and 4.9331 Å, with angles of 90.00, 90.00 and 90.00 degrees. Symmetry generates all atoms from Tb at (0.1775, 0.3225, 0.0000), Ho at (0.1200, 0.6200, 0.0000), Mg at (0.0000, 0.5000, 0.5000), Mg at (0.0680, 0.8068, 0.5000) and Sc at (0.0000, 0.0000, 0.0000).

=====

Here is a geometry-optimized Tb4Ho2MgSc structure from Alexandria. Energies are from GGA-PBE.

For the energy, the calculation gives -35.39 eV/f.u. For the volume, the calculation gives 237.3 Å³/cell. For the density of states at the Fermi level, the calculation gives 11.7 states/eV/f.u.

The space group is P2/m (No. 10) and the conventional cell measures 4.9540, 4.9517 and 9.6717 Å, with angles of 90.00, 90.04 and 90.00 degrees. Symmetry generates all atoms from Tb at (0.9999, 0.0000, 0.2474), Tb at (0.4996, 0.5000, 0.2475), Ho at (0.0000, 0.5000, 0.0000), Ho at (0.5000, 0.0000, 0.5000), Mg at (0.0000, 0.5000, 0.5000) and Sc at (0.5000, 0.0000, 0.0000).

=====

Here is a geometry-optimized TbHoMgSc structure from Alexandria. Energies are from GGA-PBE.

For the volume, the calculation gives 110.3 Å³/cell. The calculation puts the polymorph energy (0 for the lowest one) at 0.00 eV/f.u. For the density of states at the Fermi level, the calculation gives 5.3 states/eV/f.u.

The space group is P4mm (No. 99) and the conventional cell measures 3.4757, 3.4757 and 9.1336 Å, with angles of 90.00, 90.00 and 90.00 degrees. Symmetry generates all atoms from Tb at (0.0000, 0.0000, 0.0000), Ho at (0.5000, 0.5000, 0.7239), Mg at (0.5000, 0.5000, 0.2526) and Sc at (0.0000, 0.0000, 0.4720).

=====

Here is a geometry-optimized Tb6Ho2MgSc3 structure from Alexandria. Energies are from GGA-PBE.

For the energy, the calculation gives -57.01 eV/f.u. For the volume, the calculation gives 697.7 Å³/cell. For the density of states at the Fermi level, the calculation gives 14.7 states/eV/f.u.

The space group is C2/m (No. 12) and the conventional cell measures 6.0048, 10.4015 and 11.3491 Å, with angles of 90.00, 100.18 and 90.00 degrees. Symmetry generates all atoms from Tb at (0.2478, 0.0000, 0.2419), Tb at (0.2478, 0.3333, 0.2424), Ho at (0.0000, 0.3335, 0.5000), Mg at (0.0000, 0.0000, 0.5000), Sc at (0.0000, 0.1661, 0.0000) and Sc at (0.0000, 0.5000, 0.0000).

=====

Here is a geometry-optimized Tb2HoMg5Sc2 structure from Alexandria. Energies are from GGA-PBE.

For the energy, the calculation gives -34.24 eV/f.u. For the volume, the calculation gives 527.3 Å³/cell. For the density of states at the Fermi level, the calculation gives 7.0 states/eV/f.u.

The space group is P4/mbm (No. 127) and the conventional cell measures 10.3067, 10.3067 and 4.9640 Å, with angles of 90.00, 90.00 and 90.00 degrees. Symmetry generates all atoms from Tb at (0.1785, 0.3215, 0.0000), Ho at (0.0000, 0.0000, 0.0000), Mg at (0.0000, 0.5000, 0.5000), Mg at (0.0695, 0.7969, 0.5000) and Sc at (0.1163, 0.6163, 0.0000).

=====

Here is a geometry-optimized TbHoMgSc structure from Alexandria. Energies are from GGA-PBE.

For the volume, the calculation gives 438.7 Å³/cell. The calculation puts the polymorph energy (0 for the lowest one) at 0.12 eV/f.u. For the density of states at the Fermi level, the calculation gives 4.1 states/eV/f.u.

The space group is F-43m (No. 216) and the conventional cell measures 7.5986, 7.5986 and 7.5986 Å, with angles of 90.00, 90.00 and 90.00 degrees. Symmetry generates all atoms from Tb at (0.0000, 0.0000, 0.0000), Ho at (0.0000, 0.0000, 0.5000), Mg at (0.2500, 0.2500, 0.7500) and Sc at (0.2500, 0.2500, 0.2500).

=====

Q: What is the formula in the ninth record?
A: TbHoMgSc

=====

Q: Number 10 is which compound?
A: Tb6Ho2MgSc3

=====

Q: Which value of volume does entry 1 give?
A: 336.3 Å³/cell